[1]
The following is a DFT calculation (PBE-GGA) of a relaxed SrYPt2 crystal.

Output
**Density**: 10.301 g/cm³
**VASP energy**: -5.98 eV per atom
**Energy above the most stable polymorph in this dataset**: 0.097 eV per atom
**Formation enthalpy at 0 K**: -3.70 eV per formula unit
**Total magnetic moment**: 0.00 μB/f.u.

CIF file:
```
data_SrYPt2
_cell_length_a 5.083
_cell_length_b 5.083
_cell_length_c 3.536
_cell_angle_alpha 90.00
_cell_angle_beta 90.00
_cell_angle_gamma 90.00
_space_group_name_H-M_alt 'P 4/m m m'
_space_group_IT_number 123
_space_group_name_Hall '-P 4 2'
loop_
_atom_site_label
_atom_site_type_symbol
_atom_site_fract_x
_atom_site_fract_y
_atom_site_fract_z
_atom_site_occupancy
Sr1 Sr 0.000 0.000 0.000 1
Y1 Y 0.500 0.500 0.000 1
Pt1 Pt 0.000 0.500 0.500 1
```

=====

[2]
The following is a DFT calculation (PBE-GGA) of a relaxed La2ZrI crystal.

Output
**Uncorrected formation energy**: 0.64 eV per formula unit
**Density**: 6.429 g/cm³
**VASP energy**: -4.83 eV per atom
**Energy above the most stable polymorph in this dataset**: 0.167 eV per atom
**Total magnetic moment**: 1.20 μB/f.u.

CIF file:
```
data_La2ZrI
_cell_length_a 8.794
_cell_length_b 8.794
_cell_length_c 6.626
_cell_angle_alpha 90.00
_cell_angle_beta 90.00
_cell_angle_gamma 90.00
_space_group_name_H-M_alt 'I -4 2 d'
_space_group_IT_number 122
_space_group_name_Hall 'I -4 2bw'
loop_
_atom_site_label
_atom_site_type_symbol
_atom_site_fract_x
_atom_site_fract_y
_atom_site_fract_z
_atom_site_occupancy
La1 La 0.247 0.250 0.125 1
Zr1 Zr 0.000 0.000 0.500 1
I1 I 0.000 0.000 0.000 1
```

=====

[3]
The following is a DFT calculation (PBE-GGA) of a relaxed Hf4Ge6Ru7 crystal.

Output
**Density**: 11.369 g/cm³
**VASP energy**: -8.41 eV per atom
**Formation enthalpy at 0 K**: -10.49 eV per formula unit
**Total magnetic moment**: 0.00 μB/f.u.

CIF file:
```
data_Hf4Ge6Ru7
_cell_length_a 8.156
_cell_length_b 8.156
_cell_length_c 8.156
_cell_angle_alpha 90.00
_cell_angle_beta 90.00
_cell_angle_gamma 90.00
_space_group_name_H-M_alt 'I m -3 m'
_space_group_IT_number 229
_space_group_name_Hall '-I 4 2 3'
loop_
_atom_site_label
_atom_site_type_symbol
_atom_site_fract_x
_atom_site_fract_y
_atom_site_fract_z
_atom_site_occupancy
Hf1 Hf 0.250 0.250 0.250 1
Ge1 Ge 0.000 0.000 0.308 1
Ru1 Ru 0.000 0.000 0.000 1
Ru2 Ru 0.000 0.250 0.500 1
```

=====

[4]
The following is a DFT calculation (PBE-GGA) of a relaxed CaCuPtO4 crystal.

Output
**Uncorrected formation energy**: -8.58 eV per formula unit
**Density**: 6.527 g/cm³
**VASP energy**: -5.79 eV per atom
**Total magnetic moment**: 0.99 μB/f.u.

CIF file:
```
data_CaCuPtO4
_cell_length_a 6.063
_cell_length_b 6.357
_cell_length_c 9.576
_cell_angle_alpha 90.00
_cell_angle_beta 90.00
_cell_angle_gamma 90.00
_space_group_name_H-M_alt 'I m m a'
_space_group_IT_number 74
_space_group_name_Hall '-I 2b 2'
loop_
_atom_site_label
_atom_site_type_symbol
_atom_site_fract_x
_atom_site_fract_y
_atom_site_fract_z
_atom_site_occupancy
Ca1 Ca 0.000 0.250 0.160 1
Cu1 Cu 0.250 0.250 0.750 1
Pt1 Pt 0.000 0.000 0.500 1
O1 O 0.000 0.047 0.712 1
O2 O 0.211 0.250 0.481 1
```

=====

[5]
The following is a DFT calculation (PBE-GGA) of a relaxed Cs2UCrSe4 crystal.

Output
**Uncorrected formation energy**: -6.62 eV per formula unit
**Density**: 4.796 g/cm³
**VASP energy**: -5.40 eV per atom
**Total magnetic moment**: 0.92 μB/f.u.

CIF file:
```
data_Cs2UCrSe4
_cell_length_a 4.782
_cell_length_b 17.484
_cell_length_c 28.880
_cell_angle_alpha 90.00
_cell_angle_beta 90.00
_cell_angle_gamma 90.00
_space_group_name_H-M_alt 'F d d d'
_space_group_IT_number 70
loop_
_space_group_symop_operation_xyz
'x,y,z'
'-x,-y,-z'
'-x+1/4,-y+1/4,z'
'x+1/4,y+1/4,-z'
'x,-y+1/4,-z+1/4'
'-x,y+1/4,z+1/4'
'-x+1/4,y,-z+1/4'
'x+1/4,-y,z+1/4'
'x,y+1/2,z+1/2'
'-x,-y+1/2,-z+1/2'
'-x+1/4,-y+3/4,z+1/2'
'x+1/4,y+3/4,-z+1/2'
'x,-y+3/4,-z+3/4'
'-x,y+3/4,z+3/4'
'-x+1/4,y+1/2,-z+3/4'
'x+1/4,-y+1/2,z+3/4'
'x+1/2,y,z+1/2'
'-x+1/2,-y,-z+1/2'
'-x+3/4,-y+1/4,z+1/2'
'x+3/4,y+1/4,-z+1/2'
'x+1/2,-y+1/4,-z+3/4'
'-x+1/2,y+1/4,z+3/4'
'-x+3/4,y,-z+3/4'
'x+3/4,-y,z+3/4'
'x+1/2,y+1/2,z'
'-x+1/2,-y+1/2,-z'
'-x+3/4,-y+3/4,z'
'x+3/4,y+3/4,-z'
'x+1/2,-y+3/4,-z+1/4'
'-x+1/2,y+3/4,z+1/4'
'-x+3/4,y+1/2,-z+1/4'
'x+3/4,-y+1/2,z+1/4'
loop_
_atom_site_label
_atom_site_type_symbol
_atom_site_fract_x
_atom_site_fract_y
_atom_site_fract_z
_atom_site_occupancy
Cs1 Cs 0.125 0.125 0.289 1
U1 U 0.125 0.125 0.125 1
Cr1 Cr 0.125 0.125 0.625 1
Se1 Se 0.070 0.281 0.818 1
```

=====

[6]
The following is a DFT calculation (PBE-GGA) of a relaxed Mn2MoSe crystal.

Output
**Uncorrected formation energy**: 1.10 eV per formula unit
**Density**: 7.568 g/cm³
**VASP energy**: -7.89 eV per atom
**Total magnetic moment**: 5.63 μB/f.u.

CIF file:
```
data_Mn2MoSe
_cell_length_a 3.0481
_cell_length_b 3.0481
_cell_length_c 23.2966
_cell_angle_alpha 90.00
_cell_angle_beta 90.00
_cell_angle_gamma 120.00
_space_group_name_H-M_alt 'R -3 m'
_space_group_IT_number 166
_space_group_name_Hall '-R 3 2"'
loop_
_atom_site_label
_atom_site_type_symbol
_atom_site_fract_x
_atom_site_fract_y
_atom_site_fract_z
_atom_site_occupancy
Mn1 Mn 0.0000 0.0000 0.2483 1
Mo1 Mo 0.0000 0.0000 0.0000 1
Se1 Se 0.0000 0.0000 0.5000 1
```

=====

[7]
The following is a DFT calculation (PBE-GGA) of a relaxed TaAl4Ir crystal.

Output
**Density**: 8.745 g/cm³
**VASP energy**: -5.95 eV per atom
**Formation enthalpy at 0 K**: -0.05 eV per formula unit
**Total magnetic moment**: 0.00 μB/f.u.

CIF file:
```
data_TaAl4Ir
_cell_length_a 7.149
_cell_length_b 7.149
_cell_length_c 7.149
_cell_angle_alpha 90.00
_cell_angle_beta 90.00
_cell_angle_gamma 90.00
_space_group_name_H-M_alt 'F -4 3 m'
_space_group_IT_number 216
_space_group_name_Hall 'F -4 2 3'
loop_
_atom_site_label
_atom_site_type_symbol
_atom_site_fract_x
_atom_site_fract_y
_atom_site_fract_z
_atom_site_occupancy
Ta1 Ta 0.000 0.000 0.000 1
Al1 Al 0.125 0.125 0.625 1
Ir1 Ir 0.250 0.250 0.250 1
```

=====

[8]
The following is a DFT calculation (PBE-GGA) of a relaxed MnTeP2 crystal.

Output
**Uncorrected formation energy**: 0.70 eV per formula unit
**Density**: 5.650 g/cm³
**VASP energy**: -5.61 eV per atom
**Total magnetic moment**: 1.57 μB/f.u.

CIF file:
```
data_MnTeP2
_cell_length_a 3.118
_cell_length_b 3.118
_cell_length_c 7.392
_cell_angle_alpha 90.00
_cell_angle_beta 90.00
_cell_angle_gamma 90.00
_space_group_name_H-M_alt 'P 4 m m'
_space_group_IT_number 99
_space_group_name_Hall 'P 4 -2'
loop_
_atom_site_label
_atom_site_type_symbol
_atom_site_fract_x
_atom_site_fract_y
_atom_site_fract_z
_atom_site_occupancy
Mn1 Mn 0.000 0.000 0.000 1
Te1 Te 0.500 0.500 0.766 1
P1 P 0.000 0.000 0.319 1
P2 P 0.500 0.500 0.170 1
```

=====

[9]
The following is a DFT calculation (PBE-GGA) of a relaxed Pm4HoCd2 crystal.

Output
**Density**: 6.803 g/cm³
**VASP energy**: -3.53 eV per atom
**Formation enthalpy at 0 K**: 0.73 eV per formula unit
**Total magnetic moment**: 0.00 μB/f.u.

CIF file:
```
data_Pm4HoCd2
_cell_length_a 5.5852
_cell_length_b 5.5852
_cell_length_c 26.2856
_cell_angle_alpha 90.00
_cell_angle_beta 90.00
_cell_angle_gamma 120.00
_space_group_name_H-M_alt 'R -3 m'
_space_group_IT_number 166
_space_group_name_Hall '-R 3 2"'
loop_
_atom_site_label
_atom_site_type_symbol
_atom_site_fract_x
_atom_site_fract_y
_atom_site_fract_z
_atom_site_occupancy
Pm1 Pm 0.0000 0.0000 0.1300 1
Pm2 Pm 0.0000 0.0000 0.2639 1
Ho1 Ho 0.0000 0.0000 0.5000 1
Cd1 Cd 0.0000 0.0000 0.3842 1
```

=====

[10]
The following is a DFT calculation (PBE-GGA) of a relaxed NaYPuO6 crystal.

Output
**Uncorrected formation energy**: -21.22 eV per formula unit
**Density**: 5.762 g/cm³
**VASP energy**: -8.12 eV per atom
**Total magnetic moment**: 0.07 μB/f.u.

CIF file:
```
data_NaYPuO6
_cell_length_a 5.5655
_cell_length_b 5.5655
_cell_length_c 4.8545
_cell_angle_alpha 90.00
_cell_angle_beta 90.00
_cell_angle_gamma 120.00
_space_group_name_H-M_alt 'P 3 1 2'
_space_group_IT_number 149
_space_group_name_Hall 'P 3 2'
loop_
_atom_site_label
_atom_site_type_symbol
_atom_site_fract_x
_atom_site_fract_y
_atom_site_fract_z
_atom_site_occupancy
Na1 Na 0.0000 0.0000 0.0000 1
Y1 Y 0.6667 0.3333 0.5000 1
Pu1 Pu 0.3333 0.6667 0.0000 1
O1 O 0.0304 0.3825 0.2300 1
```

=====

Which formula does entry 7 have?
TaAl4Ir

=====

The highest VASP energy belongs to which entry?
Pm4HoCd2